Record 1
AgH3Rh (PBEsol, optimized geometry); DFT total energy = -21.292 eV/f.u.; Fermi-level density of states = 0.58 states/eV/f.u.; theoretical density = 8.26 g/cm³; ΔE to the lowest computed polymorph = 0.00 eV/f.u.; space group = Cm; total moment = 0.000 μB per formula unit
1.0
5.1374 -1.5217 0.0000
5.1374 1.5217 0.0000
-0.6843 0.0000 2.7494
Ag H Rh
1 3 1
Direct
0.0000 0.0000 0.0000
0.1718 0.1718 0.7086
0.3831 0.3831 0.8948
0.7036 0.7036 0.2448
0.2779 0.2779 0.3037

Record 2
YAgHRh2 (PBEsol, optimized geometry); DFT total energy = -31.623 eV/f.u.; Fermi-level density of states = 4.06 states/eV/f.u.; theoretical density = 9.76 g/cm³; space group = P4/mmm; total moment = 0.000 μB per formula unit
1.0
4.0249 0.0000 0.0000
0.0000 4.0249 0.0000
0.0000 0.0000 4.2385
Y Ag H Rh
1 1 1 2
Direct
0.0000 0.0000 0.0000
0.5000 0.5000 0.0000
0.0000 0.0000 0.5000
0.0000 0.5000 0.5000
0.5000 0.0000 0.5000

Record 3
AgHRu3 (PBEsol, optimized geometry); DFT total energy = -34.784 eV/f.u.; Fermi-level density of states = 5.52 states/eV/f.u.; theoretical density = 11.66 g/cm³; space group = Pm-3m; total moment = 1.809 μB per formula unit
1.0
3.8863 0.0000 0.0000
0.0000 3.8863 0.0000
0.0000 0.0000 3.8863
Ag H Ru
1 1 3
Direct
0.0000 0.0000 0.0000
0.5000 0.5000 0.5000
0.0000 0.5000 0.5000
0.5000 0.0000 0.5000
0.5000 0.5000 0.0000

Record 4
Si2AgHS (PBEsol, optimized geometry); DFT total energy = -19.931 eV/f.u.; Fermi-level density of states = 1.05 states/eV/f.u.; theoretical density = 4.25 g/cm³; space group = P4/mmm; total moment = 0.000 μB per formula unit
1.0
4.7772 0.0000 0.0000
0.0000 4.7772 0.0000
0.0000 0.0000 3.3759
Si Ag H S
2 1 1 1
Direct
0.0000 0.5000 0.0000
0.5000 0.0000 0.0000
0.0000 0.0000 0.0000
0.0000 0.0000 0.5000
0.5000 0.5000 0.5000

Record 5
AgSb2H (PBEsol, optimized geometry); DFT total energy = -13.969 eV/f.u.; Fermi-level density of states = 1.17 states/eV/f.u.; theoretical density = 6.88 g/cm³; space group = I-42d; total moment = 0.000 μB per formula unit
1.0
-2.3342 2.3342 7.8086
2.3342 -2.3342 7.8086
2.3342 2.3342 -7.8086
Ag Sb H
2 4 2
Direct
0.0000 0.0000 0.0000
0.7500 0.2500 0.5000
0.1898 0.6250 0.0648
0.3750 0.4398 0.5648
0.5602 0.1250 0.9352
0.8750 0.8102 0.4352
0.2500 0.7500 0.5000
0.5000 0.5000 0.0000

Record 6
Ag2Sb2H (PBEsol, optimized geometry); DFT total energy = -16.147 eV/f.u.; Fermi-level density of states = 1.92 states/eV/f.u.; theoretical density = 7.07 g/cm³; space group = P4/mbm; total moment = 0.668 μB per formula unit
1.0
8.4889 0.0000 0.0000
0.0000 8.4889 0.0000
0.0000 0.0000 2.9998
Ag Sb H
4 4 2
Direct
0.1497 0.3503 0.0000
0.3503 0.8503 0.0000
0.6497 0.1497 0.0000
0.8503 0.6497 0.0000
0.1483 0.6483 0.5000
0.3517 0.1483 0.5000
0.6483 0.8517 0.5000
0.8517 0.3517 0.5000
0.0000 0.0000 0.0000
0.5000 0.5000 0.0000

Record 7
AgSbH2 (PBEsol, optimized geometry); DFT total energy = -11.567 eV/f.u.; Fermi-level density of states = 1.65 states/eV/f.u.; theoretical density = 7.78 g/cm³; ΔE to the lowest computed polymorph = 0.99 eV/f.u.; space group = Fm-3m; total moment = 0.002 μB per formula unit
1.0
0.0000 2.9126 2.9126
2.9126 0.0000 2.9126
2.9126 2.9126 0.0000
Ag Sb H
1 1 2
Direct
0.0000 0.0000 0.0000
0.5000 0.5000 0.5000
0.2500 0.2500 0.2500
0.7500 0.7500 0.7500

Record 8
AgSbH2 (PBEsol, optimized geometry); DFT total energy = -12.552 eV/f.u.; Fermi-level density of states = 0.79 states/eV/f.u.; theoretical density = 7.13 g/cm³; ΔE to the lowest computed polymorph = 0.00 eV/f.u.; space group = I-42d; total moment = 0.000 μB per formula unit
1.0
-2.5815 2.5815 4.0462
2.5815 -2.5815 4.0462
2.5815 2.5815 -4.0462
Ag Sb H
2 2 4
Direct
0.0000 0.0000 0.0000
0.7500 0.2500 0.5000
0.2500 0.7500 0.5000
0.5000 0.5000 0.0000
0.0243 0.1250 0.3993
0.3750 0.9757 0.1007
0.7257 0.6250 0.6007
0.8750 0.2743 0.8993